#a
DFT (PBE) results for HfZrAgPd after structural relaxation.

SG: P4mm, No. 99
calculated volume: 19.4 Å³ per atom
density of states at the Fermi level: 1.9 states/eV per cell
crystal system: tetragonal

Structure (POSCAR):
```
HfZrAgPd
1.0
3.4117 0.0000 0.0000
0.0000 3.4117 0.0000
0.0000 0.0000 6.6526
Hf Zr Ag Pd
1 1 1 1
direct
0.0000 0.0000 0.0000 Hf
0.5000 0.5000 0.7056 Zr
0.0000 0.0000 0.4527 Ag
0.5000 0.5000 0.2097 Pd
```

#b
DFT (PBE) results for HfZrAgPd after structural relaxation.

SG: F-43m, No. 216
calculated volume: 19.4 Å³ per atom
density of states at the Fermi level: 20.7 states/eV per cell
crystal system: cubic

Structure (POSCAR):
```
HfZrAgPd
1.0
6.7654 0.0000 0.0000
0.0000 6.7654 0.0000
0.0000 0.0000 6.7654
Hf Zr Ag Pd
4 4 4 4
direct
0.0000 0.0000 0.0000 Hf
0.0000 0.5000 0.5000 Hf
0.5000 0.0000 0.5000 Hf
0.5000 0.5000 0.0000 Hf
0.0000 0.0000 0.5000 Zr
0.0000 0.5000 0.0000 Zr
0.5000 0.0000 0.0000 Zr
0.5000 0.5000 0.5000 Zr
0.2500 0.2500 0.7500 Ag
0.2500 0.7500 0.2500 Ag
0.7500 0.2500 0.2500 Ag
0.7500 0.7500 0.7500 Ag
0.2500 0.2500 0.2500 Pd
0.2500 0.7500 0.7500 Pd
0.7500 0.2500 0.7500 Pd
0.7500 0.7500 0.2500 Pd
```

Verdict on stability: #b comes out at the bottom.

#a
DFT (PBE) results for HfZrAgPd2 after structural relaxation.

SG: P4/mmm, No. 123
calculated volume: 23.2 Å³ per atom
density of states at the Fermi level: 5.0 states/eV per cell
crystal system: tetragonal

Structure (POSCAR):
```
HfZrAgPd2
1.0
4.7894 0.0000 0.0000
0.0000 4.7894 0.0000
0.0000 0.0000 5.0634
Hf Zr Ag Pd
1 1 1 2
direct
0.0000 0.0000 0.0000 Hf
0.5000 0.5000 0.5000 Zr
0.0000 0.0000 0.5000 Ag
0.0000 0.5000 0.0000 Pd
0.5000 0.0000 0.0000 Pd
```

#b
DFT (PBE) results for HfZrAgPd2 after structural relaxation.

SG: P4/mmm, No. 123
calculated volume: 24.7 Å³ per atom
density of states at the Fermi level: 3.8 states/eV per cell
crystal system: tetragonal

Structure (POSCAR):
```
HfZrAgPd2
1.0
4.8738 0.0000 0.0000
0.0000 4.8738 0.0000
0.0000 0.0000 5.2062
Hf Zr Ag Pd
1 1 1 2
direct
0.0000 0.0000 0.0000 Hf
0.0000 0.0000 0.5000 Zr
0.5000 0.5000 0.0000 Ag
0.0000 0.5000 0.5000 Pd
0.5000 0.0000 0.5000 Pd
```

Verdict on stability: #b comes out at the bottom.

#a
DFT (PBE) results for Hf2AgPt2 after structural relaxation.

SG: P4/mbm, No. 127
calculated volume: 18.9 Å³ per atom
density of states at the Fermi level: 6.4 states/eV per cell
crystal system: tetragonal

Structure (POSCAR):
```
Hf2AgPt2
1.0
7.6184 0.0000 0.0000
0.0000 7.6184 0.0000
0.0000 0.0000 3.2635
Hf Ag Pt
4 2 4
direct
0.1649 0.3351 0.0000 Hf
0.3351 0.8351 0.0000 Hf
0.6649 0.1649 0.0000 Hf
0.8351 0.6649 0.0000 Hf
0.0000 0.0000 0.5000 Ag
0.5000 0.5000 0.5000 Ag
0.1333 0.6333 0.5000 Pt
0.3667 0.1333 0.5000 Pt
0.6333 0.8667 0.5000 Pt
0.8667 0.3667 0.5000 Pt
```

#b
DFT (PBE) results for Hf2AgPt2 after structural relaxation.

SG: P4/mbm, No. 127
calculated volume: 19.4 Å³ per atom
density of states at the Fermi level: 5.1 states/eV per cell
crystal system: tetragonal

Structure (POSCAR):
```
Hf2AgPt2
1.0
7.8464 0.0000 0.0000
0.0000 7.8464 0.0000
0.0000 0.0000 3.1436
Hf Ag Pt
4 2 4
direct
0.1570 0.3430 0.0000 Hf
0.3430 0.8430 0.0000 Hf
0.6570 0.1570 0.0000 Hf
0.8430 0.6570 0.0000 Hf
0.0000 0.0000 0.0000 Ag
0.5000 0.5000 0.0000 Ag
0.1361 0.6361 0.5000 Pt
0.3639 0.1361 0.5000 Pt
0.6361 0.8639 0.5000 Pt
0.8639 0.3639 0.5000 Pt
```

Verdict on stability: #b comes out at the bottom.

#a
DFT (PBE) results for HfAgPt after structural relaxation.

SG: I4mm, No. 107
calculated volume: 20.5 Å³ per atom
density of states at the Fermi level: 4.6 states/eV per cell
crystal system: tetragonal

Structure (POSCAR):
```
HfAgPt
1.0
2.8644 0.0000 0.0000
0.0000 2.8644 0.0000
0.0000 0.0000 14.9614
Hf Ag Pt
2 2 2
direct
0.0000 0.0000 0.0000 Hf
0.5000 0.5000 0.5000 Hf
0.0000 0.0000 0.6507 Ag
0.5000 0.5000 0.1507 Ag
0.0000 0.0000 0.8351 Pt
0.5000 0.5000 0.3351 Pt
```

#b
DFT (PBE) results for HfAgPt after structural relaxation.

SG: C2/m, No. 12
calculated volume: 19.2 Å³ per atom
density of states at the Fermi level: 4.6 states/eV per cell
crystal system: monoclinic

Structure (POSCAR):
```
HfAgPt
1.0
9.0533 0.0000 0.0000
0.0000 3.8040 0.0000
-0.5349 0.0000 6.6815
Hf Ag Pt
4 4 4
direct
0.0754 0.0000 0.2603 Hf
0.4246 0.5000 0.7397 Hf
0.5754 0.5000 0.2603 Hf
0.9246 0.0000 0.7397 Hf
0.1409 0.5000 0.9345 Ag
0.3591 0.0000 0.0655 Ag
0.6409 0.0000 0.9345 Ag
0.8591 0.5000 0.0655 Ag
0.2128 0.0000 0.6392 Pt
0.2872 0.5000 0.3608 Pt
0.7128 0.5000 0.6392 Pt
0.7872 0.0000 0.3608 Pt
```

Verdict on stability: #a comes out at the bottom.

#a
DFT (PBE) results for PuHfAg after structural relaxation.

SG: I4mm, No. 107
calculated volume: 22.3 Å³ per atom
density of states at the Fermi level: 14.8 states/eV per cell
crystal system: tetragonal

Structure (POSCAR):
```
PuHfAg
1.0
3.1418 0.0000 0.0000
0.0000 3.1418 0.0000
0.0000 0.0000 13.5245
Pu Hf Ag
2 2 2
direct
0.0000 0.0000 0.0000 Pu
0.5000 0.5000 0.5000 Pu
0.0000 0.0000 0.3280 Hf
0.5000 0.5000 0.8280 Hf
0.0000 0.0000 0.6792 Ag
0.5000 0.5000 0.1792 Ag
```

#b
DFT (PBE) results for PuHfAg after structural relaxation.

SG: P4/nmm, No. 129
calculated volume: 19.1 Å³ per atom
density of states at the Fermi level: 6.7 states/eV per cell
crystal system: tetragonal

Structure (POSCAR):
```
PuHfAg
1.0
3.2440 0.0000 0.0000
0.0000 3.2440 0.0000
0.0000 0.0000 10.8893
Pu Hf Ag
2 2 2
direct
0.2500 0.2500 0.0473 Pu
0.7500 0.7500 0.9527 Pu
0.2500 0.2500 0.7528 Hf
0.7500 0.7500 0.2472 Hf
0.2500 0.2500 0.4200 Ag
0.7500 0.7500 0.5800 Ag
```

Verdict on stability: #b comes out at the bottom.

#a
DFT (PBE) results for PuHf2Ag after structural relaxation.

SG: P4/mmm, No. 123
calculated volume: 21.5 Å³ per atom
density of states at the Fermi level: 6.1 states/eV per cell
crystal system: tetragonal

Structure (POSCAR):
```
PuHf2Ag
1.0
3.2008 0.0000 0.0000
0.0000 3.2008 0.0000
0.0000 0.0000 8.4050
Pu Hf Ag
1 2 1
direct
0.0000 0.0000 0.0000 Pu
0.5000 0.5000 0.2634 Hf
0.5000 0.5000 0.7366 Hf
0.0000 0.0000 0.5000 Ag
```

#b
DFT (PBE) results for PuHf2Ag after structural relaxation.

SG: P4/mmm, No. 123
calculated volume: 20.9 Å³ per atom
density of states at the Fermi level: 6.8 states/eV per cell
crystal system: tetragonal

Structure (POSCAR):
```
PuHf2Ag
1.0
5.0892 0.0000 0.0000
0.0000 5.0892 0.0000
0.0000 0.0000 3.2244
Pu Hf Ag
1 2 1
direct
0.0000 0.0000 0.0000 Pu
0.0000 0.5000 0.5000 Hf
0.5000 0.0000 0.5000 Hf
0.5000 0.5000 0.0000 Ag
```

Verdict on stability: #b comes out at the bottom.